No. 1
# BaHg2SbP PBE optimized geometry
data_BaHg2SbP
_chemical_formula_sum 'Ba1 Hg2 Sb1 P1'
_space_group_name_H-M_alt 'P 4/m m m'
_space_group_IT_number 123
_space_group_name_Hall '-P 4 2'
_cell_length_a 5.1281
_cell_length_b 5.1281
_cell_length_c 6.2903
_cell_angle_alpha 90.00
_cell_angle_beta 90.00
_cell_angle_gamma 90.00
loop_
_atom_site_label
_atom_site_fract_x
_atom_site_fract_y
_atom_site_fract_z
Ba1 0.0000 0.0000 0.0000
Hg1 0.0000 0.5000 0.5000
Sb1 0.5000 0.5000 0.0000
P1 0.0000 0.0000 0.5000
# Size of the total moment, μB/f.u.: 0.0
# Total DFT energy (no corrections), eV/atom: -2.524
# ΔE_f (raw), eV/atom: -0.11
# N(E_F), states/eV per cell: 4.47

***

No. 2
# BaHgP2Se8 PBE optimized geometry
data_BaHgP2Se8
_chemical_formula_sum 'Ba1 Hg1 P2 Se8'
_space_group_name_H-M_alt 'P -3'
_space_group_IT_number 147
_cell_length_a 6.1306
_cell_length_b 6.1306
_cell_length_c 9.8471
_cell_angle_alpha 90.00
_cell_angle_beta 90.00
_cell_angle_gamma 120.00
loop_
_space_group_symop_operation_xyz
'x,y,z'
'-x,-y,-z'
'-y,x-y,z'
'y,-x+y,-z'
'-x+y,-x,z'
'x-y,x,-z'
loop_
_atom_site_label
_atom_site_fract_x
_atom_site_fract_y
_atom_site_fract_z
Ba1 0.0000 0.0000 0.0000
Hg1 0.0000 0.0000 0.5000
P1 0.3333 0.6667 0.7629
Se1 0.0399 0.6666 0.3092
Se2 0.3333 0.6667 0.9859
# Size of the total moment, μB/f.u.: 0.0
# Total DFT energy (no corrections), eV/atom: -3.731
# ΔE_f (raw), eV/atom: -0.32
# N(E_F), states/eV per cell: 9.05

***

No. 3
# Ba2HgTeP PBE optimized geometry
data_Ba2HgTeP
_chemical_formula_sum 'Ba2 Hg1 Te1 P1'
_space_group_name_H-M_alt 'P 4/m m m'
_space_group_IT_number 123
_space_group_name_Hall '-P 4 2'
_cell_length_a 6.4901
_cell_length_b 6.4901
_cell_length_c 5.3771
_cell_angle_alpha 90.00
_cell_angle_beta 90.00
_cell_angle_gamma 90.00
loop_
_atom_site_label
_atom_site_fract_x
_atom_site_fract_y
_atom_site_fract_z
Ba1 0.0000 0.5000 0.0000
Hg1 0.0000 0.0000 0.5000
Te1 0.5000 0.5000 0.0000
P1 0.5000 0.5000 0.5000
# Size of the total moment, μB/f.u.: 0.0
# Total DFT energy (no corrections), eV/atom: -2.844
# ΔE_f (raw), eV/atom: -0.30
# N(E_F), states/eV per cell: 3.25

***

No. 4
# Ba2TlHgP PBE optimized geometry
data_Ba2TlHgP
_chemical_formula_sum 'Ba2 Tl1 Hg1 P1'
_space_group_name_H-M_alt 'P 4/m m m'
_space_group_IT_number 123
_space_group_name_Hall '-P 4 2'
_cell_length_a 6.5001
_cell_length_b 6.5001
_cell_length_c 4.9717
_cell_angle_alpha 90.00
_cell_angle_beta 90.00
_cell_angle_gamma 90.00
loop_
_atom_site_label
_atom_site_fract_x
_atom_site_fract_y
_atom_site_fract_z
Ba1 0.0000 0.5000 0.0000
Tl1 0.0000 0.0000 0.5000
Hg1 0.5000 0.5000 0.0000
P1 0.5000 0.5000 0.5000
# Size of the total moment, μB/f.u.: 0.6
# Total DFT energy (no corrections), eV/atom: -2.417
# Formation energy from the elements, meV per atom: -33
# N(E_F), states/eV per cell: 5.74

***

No. 5
# BaTlHgP PBE optimized geometry
data_BaTlHgP
_chemical_formula_sum 'Ba4 Tl4 Hg4 P4'
_space_group_name_H-M_alt 'F -4 3 m'
_space_group_IT_number 216
_space_group_name_Hall 'F -4 2 3'
_cell_length_a 7.8487
_cell_length_b 7.8487
_cell_length_c 7.8487
_cell_angle_alpha 90.00
_cell_angle_beta 90.00
_cell_angle_gamma 90.00
loop_
_atom_site_label
_atom_site_fract_x
_atom_site_fract_y
_atom_site_fract_z
Ba1 0.0000 0.0000 0.0000
Tl1 0.0000 0.0000 0.5000
Hg1 0.2500 0.2500 0.7500
P1 0.2500 0.2500 0.2500
# Size of the total moment, μB/f.u.: 0.0
# Total DFT energy (no corrections), eV/atom: -2.842
# Formation energy from the elements, meV per atom: -342
# N(E_F), states/eV per cell: 4.94

***

No. 6
# Ba2ZnHgP PBE optimized geometry
data_Ba2ZnHgP
_chemical_formula_sum 'Ba2 Zn1 Hg1 P1'
_space_group_name_H-M_alt 'P 4/m m m'
_space_group_IT_number 123
_space_group_name_Hall '-P 4 2'
_cell_length_a 6.2683
_cell_length_b 6.2683
_cell_length_c 4.5937
_cell_angle_alpha 90.00
_cell_angle_beta 90.00
_cell_angle_gamma 90.00
loop_
_atom_site_label
_atom_site_fract_x
_atom_site_fract_y
_atom_site_fract_z
Ba1 0.0000 0.5000 0.0000
Zn1 0.0000 0.0000 0.5000
Hg1 0.5000 0.5000 0.5000
P1 0.0000 0.0000 0.0000
# Size of the total moment, μB/f.u.: 0.0
# Total DFT energy (no corrections), eV/atom: -2.612
# Formation energy from the elements, meV per atom: -446
# N(E_F), states/eV per cell: 5.19

***

No. 7
# Ba2PaHgSe6 PBE optimized geometry
data_Ba2PaHgSe6
_chemical_formula_sum 'Ba4 Pa2 Hg2 Se12'
_space_group_name_H-M_alt 'P 1 21/c 1'
_space_group_IT_number 14
_cell_length_a 7.7261
_cell_length_b 8.3062
_cell_length_c 12.3334
_cell_angle_alpha 90.00
_cell_angle_beta 125.73
_cell_angle_gamma 90.00
loop_
_space_group_symop_operation_xyz
'x,y,z'
'-x,-y,-z'
'-x,y+1/2,-z+1/2'
'x,-y+1/2,z+1/2'
loop_
_atom_site_label
_atom_site_fract_x
_atom_site_fract_y
_atom_site_fract_z
Ba1 0.2135 0.0915 0.2459
Pa1 0.5000 0.0000 0.0000
Hg1 0.0000 0.0000 0.5000
Se1 0.1568 0.1756 0.9486
Se2 0.2762 0.7160 0.9461
Se3 0.3587 0.0292 0.7349
# Size of the total moment, μB/f.u.: 0.0
# Total DFT energy (no corrections), eV/atom: -4.720
# ΔE_f (raw), eV/atom: -1.26
# N(E_F), states/eV per cell: 19.87

***

No. 8
# Ba2PaHgSe5 PBE optimized geometry
data_Ba2PaHgSe5
_chemical_formula_sum 'Ba8 Pa4 Hg4 Se20'
_space_group_name_H-M_alt 'C m c 21'
_space_group_IT_number 36
_cell_length_a 4.3588
_cell_length_b 19.0680
_cell_length_c 13.4653
_cell_angle_alpha 90.00
_cell_angle_beta 90.00
_cell_angle_gamma 90.00
loop_
_space_group_symop_operation_xyz
'x,y,z'
'-x,-y,z+1/2'
'-x,y,z'
'x,-y,z+1/2'
'x+1/2,y+1/2,z'
'-x+1/2,-y+1/2,z+1/2'
'-x+1/2,y+1/2,z'
'x+1/2,-y+1/2,z+1/2'
loop_
_atom_site_label
_atom_site_fract_x
_atom_site_fract_y
_atom_site_fract_z
Ba1 0.0000 0.1137 0.0000
Ba2 0.0000 0.1269 0.6273
Pa1 0.0000 0.2051 0.3258
Hg1 0.0000 0.4560 0.7573
Se1 0.0000 0.0563 0.3729
Se2 0.0000 0.2896 0.9668
Se3 0.0000 0.3039 0.6819
Se4 0.0000 0.3519 0.3171
Se5 0.0000 0.4961 0.0776
# Size of the total moment, μB/f.u.: 1.0
# Total DFT energy (no corrections), eV/atom: -4.894
# ΔE_f (raw), eV/atom: -1.44
# N(E_F), states/eV per cell: 24.16

***

> total DFT energy (no corrections) of number 2 (BaHgP2Se8)?

-3.731 eV/atom

***

> The highest total DFT energy (no corrections) belongs to which entry?

Ba2TlHgP